No. 1
Material: NbHIr2W
Method: DFT, GGA-PBE
State: optimized geometry

Cell lengths 3.959, 3.959, 4.116 Å; angles 90.00, 90.00, 90.00 degrees
Atoms (fractional coordinates):
Ir (0.500, 0.000, 0.000)
H (0.000, 0.000, 0.000)
Ir (0.000, 0.500, 0.000)
W (0.500, 0.500, 0.500)
Nb (0.000, 0.000, 0.500)

Summary:
N(E_F) = 0.187 states/eV per atom
space-group type = P4/mmm
ρ = 17.040 g/cm3
offset from the most stable computed form = 0 meV per atom


No. 2
Material: Nb2HIrW
Method: DFT, GGA-PBE
State: optimized geometry

Cell lengths 4.228, 4.228, 3.870 Å; angles 90.00, 90.00, 90.00 degrees
Atoms (fractional coordinates):
Nb (0.000, 0.500, 0.000)
Ir (0.500, 0.500, 0.500)
Nb (0.500, 0.000, 0.000)
H (0.000, 0.000, 0.000)
W (0.000, 0.000, 0.500)

Summary:
N(E_F) = 0.875 states/eV per atom
space-group type = P4/mmm
ρ = 13.507 g/cm3
offset from the most stable computed form = 24 meV per atom


No. 3
Material: Nb2HIrW
Method: DFT, GGA-PBE
State: optimized geometry

Cell lengths 4.416, 4.416, 3.576 Å; angles 90.00, 90.00, 90.00 degrees
Atoms (fractional coordinates):
Ir (0.000, 0.000, 0.500)
W (0.500, 0.500, 0.500)
Nb (0.000, 0.500, 0.000)
H (0.000, 0.000, 0.000)
Nb (0.500, 0.000, 0.000)

Summary:
N(E_F) = 0.886 states/eV per atom
space-group type = P4/mmm
ρ = 13.403 g/cm3
offset from the most stable computed form = 0 meV per atom


No. 4
Material: NbHIrW2
Method: DFT, GGA-PBE
State: optimized geometry

Cell lengths 4.033, 4.033, 4.108 Å; angles 90.00, 90.00, 90.00 degrees
Atoms (fractional coordinates):
Nb (0.000, 0.000, 0.500)
H (0.000, 0.000, 0.000)
Ir (0.500, 0.500, 0.500)
W (0.500, 0.000, 0.000)
W (0.000, 0.500, 0.000)

Summary:
N(E_F) = 0.740 states/eV per atom
space-group type = P4/mmm
total DFT energy (no corrections) = -0.3546 hartree per atom
ρ = 16.253 g/cm3


No. 5
Material: Nb2ZnHIr
Method: DFT, GGA-PBE
State: optimized geometry

Cell lengths 4.044, 4.044, 4.097 Å; angles 90.00, 90.00, 90.00 degrees
Atoms (fractional coordinates):
H (0.000, 0.000, 0.000)
Zn (0.000, 0.000, 0.500)
Nb (0.000, 0.500, 0.000)
Ir (0.500, 0.500, 0.500)
Nb (0.500, 0.000, 0.000)

Summary:
N(E_F) = 0.592 states/eV per atom
space-group type = P4/mmm
ρ = 11.017 g/cm3
offset from the most stable computed form = 32 meV per atom


No. 6
Material: Nb2ZnHIr
Method: DFT, GGA-PBE
State: optimized geometry

Cell lengths 4.121, 4.121, 3.967 Å; angles 90.00, 90.00, 90.00 degrees
Atoms (fractional coordinates):
Nb (0.000, 0.500, 0.000)
Nb (0.500, 0.000, 0.000)
H (0.000, 0.000, 0.000)
Zn (0.500, 0.500, 0.500)
Ir (0.000, 0.000, 0.500)

Summary:
N(E_F) = 0.567 states/eV per atom
space-group type = P4/mmm
ρ = 10.955 g/cm3
offset from the most stable computed form = 0 meV per atom


No. 7
Material: ZrNb2HIr
Method: DFT, GGA-PBE
State: optimized geometry

Cell lengths 4.005, 4.005, 4.697 Å; angles 90.00, 90.00, 90.00 degrees
Atoms (fractional coordinates):
Zr (0.000, 0.000, 0.500)
H (0.000, 0.000, 0.000)
Nb (0.000, 0.500, 0.000)
Ir (0.500, 0.500, 0.500)
Nb (0.500, 0.000, 0.000)

Summary:
N(E_F) = 0.969 states/eV per atom
space-group type = P4/mmm
total DFT energy (no corrections) = -0.3103 hartree per atom
ρ = 10.368 g/cm3


No. 8
Material: Zr2NbHIr
Method: DFT, GGA-PBE
State: optimized geometry

Cell lengths 4.711, 4.711, 3.551 Å; angles 90.00, 90.00, 90.00 degrees
Atoms (fractional coordinates):
H (0.000, 0.000, 0.000)
Zr (0.500, 0.000, 0.000)
Zr (0.000, 0.500, 0.000)
Nb (0.500, 0.500, 0.500)
Ir (0.000, 0.000, 0.500)

Summary:
N(E_F) = 1.094 states/eV per atom
space-group type = P4/mmm
ρ = 9.875 g/cm3
offset from the most stable computed form = 49 meV per atom